# ScHgPd2

An optimized crystal structure of ScHgPd2 (PBE-GGA, Alexandria).

## Properties
E_tot = -4.579 eV per atom
Crystal system = tetragonal
Formation energy from the elements = -323.9 meV/atom
D(E_F) = 8.05 states/eV/cell
Size of the total moment = 0.0 μB/cell

a b c (Å): 7.3360 7.3360 5.8328
angles (deg): 90.00 90.00 90.00
Sites, in units of the cell vectors:
Sc: 0.0000 0.0000 0.0000
Sc: 0.0000 0.5000 0.2500
Sc: 0.5000 0.0000 0.7500
Sc: 0.5000 0.5000 0.5000
Hg: 0.0000 0.0000 0.5000
Hg: 0.0000 0.5000 0.7500
Hg: 0.5000 0.0000 0.2500
Hg: 0.5000 0.5000 0.0000
Pd: 0.2324 0.7500 0.1250
Pd: 0.2500 0.2324 0.8750
Pd: 0.2500 0.2676 0.3750
Pd: 0.2676 0.7500 0.6250
Pd: 0.7324 0.2500 0.6250
Pd: 0.7500 0.7324 0.3750
Pd: 0.7500 0.7676 0.8750
Pd: 0.7676 0.2500 0.1250

***

# Na3TbPu2Se6

An optimized crystal structure of Na3TbPu2Se6 (PBE-GGA, Alexandria).

## Properties
E_tot = -6.346 eV per atom
E_form (uncorrected) = -1.500 eV/atom
Crystal system = monoclinic
D(E_F) = 21.82 states/eV/cell
Size of the total moment = 10.0 μB/cell

a b c (Å): 7.2686 7.2686 7.3701
angles (deg): 99.46 99.46 120.00
Sites, in units of the cell vectors:
Na: 0.0000 0.0000 0.0000
Na: 0.3332 0.6668 0.0000
Na: 0.6668 0.3332 0.0000
Tb: 0.5000 0.5000 0.5000
Pu: 0.1667 0.8333 0.5000
Pu: 0.8333 0.1667 0.5000
Se: 0.0909 0.4230 0.2692
Se: 0.2447 0.2447 0.7307
Se: 0.4230 0.0909 0.2692
Se: 0.5770 0.9091 0.7308
Se: 0.7553 0.7553 0.2693
Se: 0.9091 0.5770 0.7308

***

# KMgIr

An optimized crystal structure of KMgIr (PBE-GGA, Alexandria).

## Properties
Polymorph energy (0 for the lowest one) = 1.233 eV/atom
E_tot = -2.376 eV per atom
Crystal system = cubic
Formation energy from the elements = 1475.5 meV/atom
D(E_F) = 26.87 states/eV/cell
Size of the total moment = 1.1 μB/cell

a b c (Å): 6.8349 6.8349 6.8349
angles (deg): 90.00 90.00 90.00
Sites, in units of the cell vectors:
K: 0.0000 0.0000 0.0000
K: 0.0000 0.5000 0.5000
K: 0.5000 0.0000 0.5000
K: 0.5000 0.5000 0.0000
Mg: 0.2500 0.2500 0.7500
Mg: 0.2500 0.7500 0.2500
Mg: 0.7500 0.2500 0.2500
Mg: 0.7500 0.7500 0.7500
Ir: 0.2500 0.2500 0.2500
Ir: 0.2500 0.7500 0.7500
Ir: 0.7500 0.2500 0.7500
Ir: 0.7500 0.7500 0.2500

***

# Tl5I3Br2

An optimized crystal structure of Tl5I3Br2 (PBE-GGA, Alexandria).

## Properties
E_tot = -2.723 eV per atom
E_form (uncorrected) = -0.741 eV/atom
Crystal system = triclinic
D(E_F) = 0.00 states/eV/cell
Size of the total moment = 0.0 μB/cell

a b c (Å): 4.9184 8.5184 10.9895
angles (deg): 75.06 77.12 73.25
Sites, in units of the cell vectors:
Tl: 0.0000 0.0000 0.0000
Tl: 0.1960 0.4214 0.1861
Tl: 0.4042 0.8033 0.3883
Tl: 0.5958 0.1967 0.6117
Tl: 0.8040 0.5786 0.8139
I: 0.0000 0.5000 0.5000
I: 0.2085 0.8828 0.7003
I: 0.7915 0.1172 0.2997
Br: 0.4027 0.2889 0.9061
Br: 0.5973 0.7111 0.0939

***

# Pd3Pb2O8

An optimized crystal structure of Pd3Pb2O8 (PBE-GGA, Alexandria).

## Properties
E_tot = -5.443 eV per atom
E_form (uncorrected) = -0.623 eV/atom
Crystal system = monoclinic
D(E_F) = 1.21 states/eV/cell
Size of the total moment = 0.0 μB/cell

a b c (Å): 6.7189 6.7189 5.4162
angles (deg): 108.20 108.20 55.79
Sites, in units of the cell vectors:
Pd: 0.0000 0.0000 0.0000
Pd: 0.2504 0.7496 0.5000
Pd: 0.7496 0.2504 0.5000
Pb: 0.2933 0.2933 0.8389
Pb: 0.7067 0.7067 0.1611
O: 0.0924 0.0924 0.4050
O: 0.1219 0.6768 0.1076
O: 0.3232 0.8781 0.8924
O: 0.4031 0.4031 0.5528
O: 0.5969 0.5969 0.4472
O: 0.6768 0.1219 0.1076
O: 0.8781 0.3232 0.8924
O: 0.9076 0.9076 0.5950

***

# Pu2PdAu

An optimized crystal structure of Pu2PdAu (PBE-GGA, Alexandria).

## Properties
E_tot = -9.688 eV per atom
Crystal system = tetragonal
Formation energy from the elements = -404.1 meV/atom
D(E_F) = 15.98 states/eV/cell
Size of the total moment = 11.6 μB/cell

a b c (Å): 3.8096 3.8096 6.2034
angles (deg): 90.00 90.00 90.00
Sites, in units of the cell vectors:
Pu: 0.0000 0.0000 0.2435
Pu: 0.0000 0.0000 0.7565
Pd: 0.5000 0.5000 0.0000
Au: 0.5000 0.5000 0.5000